No. 1
{
  "formula": "FeB2H",
  "functional": "PBE-GGA",
  "state": "relaxed",
  "n_ef_per_ev_cell": 1.97,
  "e_tot_ev_per_atom": -5.344,
  "density_g_cm3": 4.9,
  "sg": "Fm-3m (225)",
  "lattice_angstrom": [[-2.0642, -2.3347, 1.2252], [-0.9385, 0.1143, 3.2123], [-3.1519, 0.8030, 0.7958]],
  "species": ["H", "B", "B", "Fe"],
  "frac_coords": [[0.0000, 0.0000, 0.0000], [0.2500, 0.2500, 0.2500], [0.7500, 0.7500, 0.7500], [0.5000, 0.5000, 0.5000]]
}

---

No. 2
{
  "formula": "AgHgAs",
  "functional": "PBE-GGA",
  "state": "relaxed",
  "n_ef_per_ev_cell": 1.15,
  "formation_energy_ev_per_fu": 0.7,
  "e_tot_ev_per_atom": -2.380,
  "density_g_cm3": 10.0,
  "sg": "Imm2 (44)",
  "lattice_angstrom": [[5.8543, 0.0501, 0.0033], [3.6267, 4.5959, -0.0033], [-4.3642, -3.0910, 2.3822]],
  "species": ["As", "Hg", "Ag"],
  "frac_coords": [[0.3584, 0.3584, 0.0000], [0.6606, 0.6606, 0.0000], [0.9811, 0.9811, 0.0000]]
}

---

No. 3
{
  "formula": "K3HfBi3Se8",
  "functional": "PBE-GGA",
  "state": "relaxed",
  "e_tot_ev_per_atom": -4.436,
  "density_g_cm3": 5.3,
  "raw_formation_energy_kj_per_mol_fu": -1328,
  "sg": "R-3m (166)",
  "lattice_angstrom": [[8.4080, -0.0005, 0.0003], [-4.2045, 7.2856, -0.0308], [0.0006, -4.8277, 7.9319]],
  "species": ["K", "K", "K", "Hf", "Bi", "Bi", "Bi", "Se", "Se", "Se", "Se", "Se", "Se", "Se", "Se"],
  "frac_coords": [[0.0000, 0.0000, 0.0000], [0.0000, 0.5000, 0.0000], [0.5000, 0.5000, 0.0000], [0.0000, 0.0000, 0.5000], [0.5000, 0.0000, 0.5000], [0.5000, 0.5000, 0.5000], [0.0000, 0.5000, 0.5000], [0.2619, 0.5238, 0.2858], [0.7381, 0.4762, 0.7142], [0.7809, 0.5619, 0.3037], [0.2191, 0.4381, 0.6963], [0.7808, 0.0226, 0.3037], [0.2192, 0.9774, 0.6963], [0.2418, 0.0227, 0.3037], [0.7582, 0.9773, 0.6963]]
}

---

No. 4
{
  "formula": "RbNp2I7",
  "functional": "PBE-GGA",
  "state": "relaxed",
  "n_ef_per_ev_cell": 19.72,
  "e_tot_ev_per_atom": -4.696,
  "density_g_cm3": 4.9,
  "raw_formation_energy_kj_per_mol_fu": -894,
  "sg": "Cmmm (65)",
  "lattice_angstrom": [[6.1525, 0.0000, 0.0000], [0.0000, 8.7188, -4.7579], [0.0000, -0.5202, 9.4142]],
  "species": ["Rb", "Np", "Np", "I", "I", "I", "I", "I", "I", "I"],
  "frac_coords": [[0.0000, 0.0000, 0.0000], [0.5000, 0.3047, 0.6094], [0.5000, 0.6953, 0.3906], [0.0000, 0.2978, 0.5955], [0.0000, 0.7022, 0.4045], [0.5000, 0.3262, 0.2785], [0.5000, 0.6738, 0.7215], [0.5000, 0.0476, 0.7215], [0.5000, 0.9524, 0.2785], [0.5000, 0.5000, 0.0000]]
}

---

No. 5
{
  "formula": "Rb2GeSb",
  "functional": "PBE-GGA",
  "state": "relaxed",
  "n_ef_per_ev_cell": 7.83,
  "e_tot_ev_per_atom": -2.752,
  "density_g_cm3": 4.0,
  "raw_formation_energy_kj_per_mol_fu": -32,
  "sg": "Cmcm (63)",
  "lattice_angstrom": [[-0.4450, 4.8529, -3.4363], [-3.6789, -3.8090, -4.9028], [-5.2432, 2.5364, 4.2610]],
  "species": ["Rb", "Rb", "Rb", "Rb", "Ge", "Ge", "Sb", "Sb"],
  "frac_coords": [[0.7500, 0.0287, 0.6700], [0.2500, 0.9713, 0.3300], [0.2500, 0.3300, 0.9713], [0.7500, 0.6700, 0.0287], [0.0000, 0.5000, 0.5000], [0.5000, 0.5000, 0.5000], [0.7500, 0.2096, 0.2096], [0.2500, 0.7904, 0.7904]]
}

---

No. 6
{
  "formula": "CaTb2Zr",
  "functional": "PBE-GGA",
  "state": "relaxed",
  "n_ef_per_ev_cell": 5.73,
  "formation_energy_ev_per_fu": 0.5,
  "e_tot_ev_per_atom": -4.829,
  "density_g_cm3": 6.0,
  "sg": "R3m (160)",
  "lattice_angstrom": [[3.5000, 0.0000, 0.0000], [1.7500, 3.0311, 0.0000], [1.7500, 1.0104, 11.7241]],
  "species": ["Ca", "Tb", "Tb", "Zr"],
  "frac_coords": [[0.5002, 0.5002, 0.4995], [0.0743, 0.0743, 0.7772], [0.2590, 0.2590, 0.2229], [0.6665, 0.6665, 0.0004]]
}

---

No. 7
{
  "formula": "BaBe2Zn2",
  "functional": "PBE-GGA",
  "state": "relaxed",
  "n_ef_per_ev_cell": 2.12,
  "formation_energy_ev_per_fu": 0.7,
  "e_tot_ev_per_atom": -2.242,
  "density_g_cm3": 4.7,
  "sg": "I4/mmm (139)",
  "lattice_angstrom": [[4.2261, 0.0000, 0.0000], [0.0000, 4.2261, 0.0000], [2.1130, 2.1130, 5.6897]],
  "species": ["Be", "Be", "Zn", "Zn", "Ba"],
  "frac_coords": [[0.7500, 0.2500, 0.5000], [0.2500, 0.7500, 0.5000], [0.3346, 0.3346, 0.3307], [0.6654, 0.6654, 0.6693], [0.0000, 0.0000, 0.0000]]
}

---

No. 8
{
  "formula": "Te2AsPdCl",
  "functional": "PBE-GGA",
  "state": "relaxed",
  "n_ef_per_ev_cell": 4.11,
  "e_tot_ev_per_atom": -3.103,
  "density_g_cm3": 5.5,
  "raw_formation_energy_kj_per_mol_fu": 237,
  "sg": "P4/mmm (123)",
  "lattice_angstrom": [[-4.6385, -0.0338, 2.9635], [2.0244, -2.7911, 3.1368], [1.7518, 4.4084, 2.7921]],
  "species": ["As", "Te", "Te", "Pd", "Cl"],
  "frac_coords": [[0.0000, 0.0000, 0.0000], [0.0000, 0.0000, 0.5000], [0.5000, 0.0000, 0.0000], [0.5000, 0.5000, 0.5000], [0.0000, 0.5000, 0.0000]]
}

---

No. 9
{
  "formula": "Tl2CdF4",
  "functional": "PBE-GGA",
  "state": "relaxed",
  "n_ef_per_ev_cell": 0.00,
  "e_tot_ev_per_atom": -3.823,
  "density_g_cm3": 7.1,
  "raw_formation_energy_kj_per_mol_fu": -1315,
  "sg": "I4/mmm (139)",
  "lattice_angstrom": [[4.5011, 0.0000, 0.0000], [0.0000, 4.5011, 0.0000], [2.2506, 2.2506, 6.9421]],
  "species": ["Tl", "Tl", "F", "F", "F", "F", "Cd"],
  "frac_coords": [[0.3516, 0.3516, 0.2967], [0.6484, 0.6484, 0.7033], [0.1625, 0.1625, 0.6750], [0.8375, 0.8375, 0.3250], [0.0000, 0.5000, 0.0000], [0.5000, 0.0000, 0.0000], [0.0000, 0.0000, 0.0000]]
}

---

No. 10
{
  "formula": "Ac4CuRh3O12",
  "functional": "PBE-GGA",
  "state": "relaxed",
  "n_ef_per_ev_cell": 19.40,
  "e_tot_ev_per_atom": -7.062,
  "density_g_cm3": 9.3,
  "raw_formation_energy_kj_per_mol_fu": -3778,
  "sg": "Im-3m (229)",
  "lattice_angstrom": [[-2.2896, 6.0219, -2.6881], [-2.4360, -0.7212, 6.5021], [6.9798, 0.0088, 0.1176]],
  "species": ["Ac", "Ac", "Ac", "Ac", "Cu", "Rh", "Rh", "Rh", "O", "O", "O", "O", "O", "O", "O", "O", "O", "O", "O", "O"],
  "frac_coords": [[0.5000, 0.5000, 0.5000], [0.0000, 0.0000, 0.5000], [0.5000, 0.0000, 0.0000], [0.0000, 0.5000, 0.0000], [0.0000, 0.0000, 0.0000], [0.5000, 0.0000, 0.5000], [0.5000, 0.5000, 0.0000], [0.0000, 0.5000, 0.5000], [0.2500, 0.5000, 0.7500], [0.7513, 0.0000, 0.7513], [0.2487, 0.0000, 0.2487], [0.7500, 0.5000, 0.2500], [0.7513, 0.7513, 0.0000], [0.2487, 0.2487, 0.0000], [0.7500, 0.2500, 0.5000], [0.2500, 0.7500, 0.5000], [0.5000, 0.2500, 0.7500], [0.0000, 0.7513, 0.7513], [0.5000, 0.7500, 0.2500], [0.0000, 0.2487, 0.2487]]
}

---

No. 11
{
  "formula": "DyMgGaGe",
  "functional": "PBE-GGA",
  "state": "relaxed",
  "n_ef_per_ev_cell": 3.50,
  "formation_energy_ev_per_fu": -1.4,
  "e_tot_ev_per_atom": -3.806,
  "density_g_cm3": 6.4,
  "sg": "F-43m (216)",
  "lattice_angstrom": [[-2.2536, -4.3908, -0.0766], [-0.9311, -2.3703, 4.2283], [-4.6425, -0.4200, 1.6234]],
  "species": ["Ge", "Mg", "Ga", "Dy"],
  "frac_coords": [[0.0000, 0.0000, 0.0000], [0.2500, 0.2500, 0.2500], [0.5000, 0.5000, 0.5000], [0.7500, 0.7500, 0.7500]]
}

---

No. 12
{
  "formula": "AgPS2O",
  "functional": "PBE-GGA",
  "state": "relaxed",
  "n_ef_per_ev_cell": 2.36,
  "e_tot_ev_per_atom": -3.571,
  "density_g_cm3": 4.4,
  "raw_formation_energy_kj_per_mol_fu": 349,
  "sg": "P4/mmm (123)",
  "lattice_angstrom": [[-4.3249, -1.0088, -1.5623], [1.6114, -0.0581, -4.4230], [0.7310, -3.6197, 0.3139]],
  "species": ["P", "S", "S", "O", "Ag"],
  "frac_coords": [[0.0000, 0.0000, 0.5000], [0.0000, 0.5000, 0.0000], [0.5000, 0.0000, 0.0000], [0.0000, 0.0000, 0.0000], [0.5000, 0.5000, 0.5000]]
}